Record 1
# NaSm3Al8

A relaxed NaSm3Al8 crystal (PBE, Alexandria via LeMat-Bulk).

ΔH_f (0 K)   -0.373 eV per atom

Cell: 9.7516 9.7516 9.7516 Å, 33.52 33.52 33.52°
Closest atoms and distances in Å follow each position.
Element x y z (fractional)
Na  0.0000  0.0000  0.0000  12 Al 3.29-3.33, 4 Sm 3.37-3.42
Sm  0.3717  0.3717  0.3717  12 Al 3.28-3.35, 3 Na 3.42, 1 Sm 3.52
Sm  0.4994  0.4994  0.4994  12 Al 3.26-3.30, 4 Sm 3.48-3.52
Sm  0.8780  0.8780  0.8780  12 Al 3.23-3.37, 1 Na 3.37, 3 Sm 3.48
Al  0.1869  0.1869  0.1869  6 Al 2.79-2.81
Al  0.4362  0.4362  0.9339  6 Al 2.79-2.84
Al  0.4362  0.9339  0.4362  6 Al 2.79-2.84
Al  0.4394  0.9365  0.9365  6 Al 2.80-2.83
Al  0.6866  0.6866  0.6866  6 Al 2.83-2.84
Al  0.9339  0.4362  0.4362  6 Al 2.79-2.84
Al  0.9365  0.4394  0.9365  6 Al 2.80-2.83
Al  0.9365  0.9365  0.4394  6 Al 2.80-2.83

---

Record 2
# Na2SmAlTe4

A relaxed Na2SmAlTe4 crystal (PBE, Alexandria via LeMat-Bulk).

Formation energy without anion corrections   -906 meV/atom

Cell: 8.8590 8.8590 8.8590 Å, 122.42 118.23 89.48°
Closest atoms and distances in Å follow each position.
Element x y z (fractional)
Na  0.0000  0.0000  0.0000  6 Te 3.12-3.17
Na  0.5000  0.0000  0.0000  6 Te 3.30-3.38
Na  0.5000  0.0000  0.5000  6 Te 3.12-3.17
Na  0.5000  0.5000  0.5000  6 Te 3.30-3.38
Sm  0.0000  0.5000  0.5000  6 Te 3.12-3.17
Sm  0.5000  0.5000  0.0000  6 Te 3.12-3.17
Al  0.0000  0.0000  0.5000  6 Te 2.87-2.99
Al  0.0000  0.5000  0.0000  6 Te 2.87-2.99
Te  0.2114  0.7499  0.4615  2 Al 2.87, 1 Sm 3.17, 1 Na 3.17
Te  0.2115  0.2501  0.9615  2 Al 2.87, 1 Sm 3.17, 1 Na 3.17
Te  0.2375  0.2377  0.5002  1 Al 2.99, 2 Sm 3.12, 3 Na 3.12-3.30
Te  0.2375  0.7373  0.9998  1 Al 2.99, 2 Sm 3.12, 3 Na 3.12-3.30
Te  0.7625  0.2627  0.0002  1 Al 2.99, 2 Sm 3.12, 3 Na 3.12-3.30
Te  0.7625  0.7623  0.4998  1 Al 2.99, 2 Sm 3.12, 3 Na 3.12-3.30
Te  0.7885  0.7499  0.0385  2 Al 2.87, 1 Sm 3.17, 1 Na 3.17
Te  0.7886  0.2501  0.5385  2 Al 2.87, 1 Sm 3.17, 1 Na 3.17

---

Record 3
# NaSmAlTl

A relaxed NaSmAlTl crystal (PBE, Alexandria via LeMat-Bulk).

ΔH_f (0 K)   -0.133 eV per atom

Cell: 5.2716 5.2716 5.2716 Å, 60.00 60.00 60.00°
Closest atoms and distances in Å follow each position.
Element x y z (fractional)
Na  0.0000  0.0000  0.0000  4 Tl 3.23, 4 Al 3.23
Sm  0.5000  0.5000  0.5000  4 Al 3.23, 4 Tl 3.23
Al  0.2500  0.2500  0.2500  4 Sm 3.23, 4 Na 3.23
Tl  0.7500  0.7500  0.7500  4 Sm 3.23, 4 Na 3.23

---

Record 4
# Na2AlSn

A relaxed Na2AlSn crystal (PBE, Alexandria via LeMat-Bulk).

Distance to the lowest polymorph of the same formula   0 kJ/mol of formula units
ΔH_f (0 K)   -0.045 eV per atom

Cell: 6.2380 6.2380 8.6877 Å, 115.60 115.60 48.70°
Closest atoms and distances in Å follow each position.
Element x y z (fractional)
Na  0.0000  0.0000  0.0000  2 Sn 3.06, 2 Al 3.29-3.31
Na  0.0002  0.0002  0.4975  2 Al 3.39-3.40, 4 Sn 3.41-3.42, 4 Na 3.52
Na  0.3920  0.3920  0.6779  1 Al 3.12, 2 Sn 3.28-3.31
Na  0.6099  0.6099  0.3196  1 Al 3.11, 2 Sn 3.26-3.31
Al  0.2536  0.2536  0.9132  3 Sn 2.79-2.91, 2 Al 2.98, 1 Na 3.12
Al  0.7448  0.7448  0.0811  3 Sn 2.79-2.91, 2 Al 2.98, 1 Na 3.11
Sn  0.2993  0.2993  0.2586  3 Al 2.79-2.91, 1 Na 3.06
Sn  0.7017  0.7017  0.7367  3 Al 2.79-2.91, 1 Na 3.06

---

The calculation returns the following total magnetization values, one per record and in order: 0.00; 0.00; 0.00; 0.00 μB per formula unit.
The calculation returns the following calculated total energy values, one per record and in order: -4.158; -3.865; -3.170; -2.641 eV per atom.